[1]
Entry from Alexandria via LeMat-Bulk: Na2Tl5Bi after structural relaxation (GGA-PBE).

Computed properties:
Space group: C2/c
Mass density in g/cm3: 8.8
Calculated total energy in eV/atom: -2.379
Formation enthalpy at 0 K in kJ per mole of atoms: -8.2

Cell lengths 7.1263, 7.1263, 11.4732 Å; angles 97.90, 97.90, 120.58 degrees
With the nearest neighbours (Å) after each atom.
Sites, in units of the cell vectors:
Na1 0.0012 0.2547 0.0047  1 Bi 3.34, 9 Tl 3.41-3.58, 2 Na 3.52-3.61
Na2 0.2547 0.0012 0.5047  1 Bi 3.34, 9 Tl 3.41-3.58, 2 Na 3.52-3.61
Na3 0.7453 0.9988 0.4953  1 Bi 3.34, 9 Tl 3.41-3.58, 2 Na 3.52-3.61
Na4 0.9988 0.7453 0.9953  1 Bi 3.34, 9 Tl 3.41-3.58, 2 Na 3.52-3.61
Tl1 0.1939 0.2923 0.7427  7 Tl 3.36-3.66, 3 Na 3.41-3.46, 2 Bi 3.51-3.62
Tl2 0.2512 0.5001 0.4953  6 Tl 3.34-3.60, 2 Bi 3.44-3.50, 4 Na 3.51-3.58
Tl3 0.2913 0.7087 0.2500  6 Tl 3.34-3.66, 4 Na 3.43-3.47, 2 Bi 3.53
Tl4 0.2923 0.1939 0.2427  7 Tl 3.36-3.66, 3 Na 3.41-3.46, 2 Bi 3.51-3.62
Tl5 0.5001 0.2512 0.9953  6 Tl 3.34-3.60, 2 Bi 3.44-3.50, 4 Na 3.51-3.58
Tl6 0.4999 0.7488 0.0047  6 Tl 3.34-3.60, 2 Bi 3.44-3.50, 4 Na 3.51-3.58
Tl7 0.7077 0.8061 0.7573  7 Tl 3.36-3.66, 3 Na 3.41-3.46, 2 Bi 3.51-3.62
Tl8 0.7087 0.2913 0.7500  6 Tl 3.34-3.66, 4 Na 3.43-3.47, 2 Bi 3.53
Tl9 0.7488 0.4999 0.5047  6 Tl 3.34-3.60, 2 Bi 3.44-3.50, 4 Na 3.51-3.58
Tl10 0.8061 0.7077 0.2573  7 Tl 3.36-3.66, 3 Na 3.41-3.46, 2 Bi 3.51-3.62
Bi1 0.2072 0.7928 0.7500  2 Na 3.34, 10 Tl 3.44-3.62
Bi2 0.7928 0.2072 0.2500  2 Na 3.34, 10 Tl 3.44-3.62

[2]
Entry from Alexandria via LeMat-Bulk: NaTl2Bi after structural relaxation (GGA-PBE).

Computed properties:
Space group: P4/mmm
Mass density in g/cm3: 8.6
Calculated total energy in eV/atom: -2.591
Formation enthalpy at 0 K in kJ per mole of atoms: -10.4

Cell lengths 4.1651, 4.1651, 7.1005 Å; angles 90.00, 90.00, 90.00 degrees
With the nearest neighbours (Å) after each atom.
Sites, in units of the cell vectors:
Na1 0.0000 0.0000 0.0000  8 Tl 3.48, 2 Bi 3.55
Tl1 0.5000 0.5000 0.2603  4 Bi 3.40, 2 Tl 3.40-3.70, 4 Na 3.48
Tl2 0.5000 0.5000 0.7397  4 Bi 3.40, 2 Tl 3.40-3.70, 4 Na 3.48
Bi1 0.0000 0.0000 0.5000  8 Tl 3.40, 2 Na 3.55